(1)
Here is an optimized crystal structure of Pr2PuHfP4 from the Alexandria database. Energies are from PBE.

Geometry as CIF:
```
data_Pr2PuHfP4
_chemical_formula_sum 'Pr2 Pu1 Hf1 P4'
_space_group_name_H-M_alt 'P 1'
_space_group_IT_number 1
_cell_length_a 4.004
_cell_length_b 6.914
_cell_length_c 6.974
_cell_angle_alpha 109.17
_cell_angle_beta 90.00
_cell_angle_gamma 90.00
loop_
_space_group_symop_operation_xyz
'x,y,z'
loop_
_atom_site_label
_atom_site_type_symbol
_atom_site_fract_x
_atom_site_fract_y
_atom_site_fract_z
Pr1 Pr 0.500 0.000 0.500
Pr2 Pr 0.000 0.500 0.500
Pu1 Pu 0.000 0.000 0.000
Hf1 Hf 0.500 0.500 0.000
P1 P 0.500 0.251 0.226
P2 P 0.500 0.749 0.774
P3 P 0.000 0.267 0.778
P4 P 0.000 0.733 0.222
```

Values from the calculation:
Total DFT energy (no corrections) ... -8.30 eV per atom
Space group ... No. 10
Total magnetic moment ... 5.08 μB per formula unit
Mass density ... 7.54 g/cm³



(2)
Here is an optimized crystal structure of PrHfP2Rh5 from the Alexandria database. Energies are from PBE.

Geometry as CIF:
```
data_PrHfP2Rh5
_chemical_formula_sum 'Pr1 Hf1 P2 Rh5'
_space_group_name_H-M_alt 'P 1'
_space_group_IT_number 1
_cell_length_a 4.072
_cell_length_b 4.072
_cell_length_c 10.216
_cell_angle_alpha 90.00
_cell_angle_beta 90.00
_cell_angle_gamma 90.00
loop_
_space_group_symop_operation_xyz
'x,y,z'
loop_
_atom_site_label
_atom_site_type_symbol
_atom_site_fract_x
_atom_site_fract_y
_atom_site_fract_z
Pr1 Pr 0.000 0.000 0.500
Hf1 Hf 0.000 0.000 0.000
P1 P 0.500 0.500 0.278
P2 P 0.500 0.500 0.722
Rh1 Rh 0.000 0.500 0.178
Rh2 Rh 0.500 0.000 0.178
Rh3 Rh 0.000 0.500 0.822
Rh4 Rh 0.500 0.000 0.822
Rh5 Rh 0.500 0.500 0.500
```

Values from the calculation:
Total DFT energy (no corrections) ... -7.73 eV per atom
Space group ... No. 123
Total magnetic moment ... 0.00 μB per formula unit
Mass density ... 8.78 g/cm³



(3)
Here is an optimized crystal structure of Pr2SmHfP4 from the Alexandria database. Energies are from PBE.

Geometry as CIF:
```
data_Pr2SmHfP4
_chemical_formula_sum 'Pr2 Sm1 Hf1 P4'
_space_group_name_H-M_alt 'P 1'
_space_group_IT_number 1
_cell_length_a 4.032
_cell_length_b 6.995
_cell_length_c 7.012
_cell_angle_alpha 109.16
_cell_angle_beta 90.00
_cell_angle_gamma 90.00
loop_
_space_group_symop_operation_xyz
'x,y,z'
loop_
_atom_site_label
_atom_site_type_symbol
_atom_site_fract_x
_atom_site_fract_y
_atom_site_fract_z
Pr1 Pr 0.500 0.000 0.500
Pr2 Pr 0.000 0.500 0.500
Sm1 Sm 0.500 0.500 0.000
Hf1 Hf 0.000 0.000 0.000
P1 P 0.500 0.229 0.225
P2 P 0.500 0.771 0.775
P3 P 0.000 0.241 0.766
P4 P 0.000 0.759 0.234
```

Values from the calculation:
Total DFT energy (no corrections) ... -7.18 eV per atom
Space group ... No. 10
Total magnetic moment ... 0.00 μB per formula unit
Mass density ... 6.53 g/cm³



(4)
Here is an optimized crystal structure of Tb2PrHfP4 from the Alexandria database. Energies are from PBE.

Geometry as CIF:
```
data_Tb2PrHfP4
_chemical_formula_sum 'Tb2 Pr1 Hf1 P4'
_space_group_name_H-M_alt 'P 1'
_space_group_IT_number 1
_cell_length_a 3.976
_cell_length_b 6.907
_cell_length_c 6.882
_cell_angle_alpha 109.20
_cell_angle_beta 90.00
_cell_angle_gamma 90.00
loop_
_space_group_symop_operation_xyz
'x,y,z'
loop_
_atom_site_label
_atom_site_type_symbol
_atom_site_fract_x
_atom_site_fract_y
_atom_site_fract_z
Tb1 Tb 0.500 0.000 0.500
Tb2 Tb 0.000 0.500 0.500
Pr1 Pr 0.500 0.500 0.000
Hf1 Hf 0.000 0.000 0.000
P1 P 0.500 0.231 0.238
P2 P 0.500 0.769 0.762
P3 P 0.000 0.234 0.751
P4 P 0.000 0.766 0.249
```

Values from the calculation:
Total DFT energy (no corrections) ... -7.18 eV per atom
Space group ... No. 10
Total magnetic moment ... 0.00 μB per formula unit
Mass density ... 7.08 g/cm³



(5)
Here is an optimized crystal structure of PrY2HfP4 from the Alexandria database. Energies are from PBE.

Geometry as CIF:
```
data_PrY2HfP4
_chemical_formula_sum 'Pr1 Y2 Hf1 P4'
_space_group_name_H-M_alt 'P 1'
_space_group_IT_number 1
_cell_length_a 3.970
_cell_length_b 6.897
_cell_length_c 6.870
_cell_angle_alpha 109.20
_cell_angle_beta 90.00
_cell_angle_gamma 90.00
loop_
_space_group_symop_operation_xyz
'x,y,z'
loop_
_atom_site_label
_atom_site_type_symbol
_atom_site_fract_x
_atom_site_fract_y
_atom_site_fract_z
Pr1 Pr 0.500 0.500 0.000
Y1 Y 0.500 0.000 0.500
Y2 Y 0.000 0.500 0.500
Hf1 Hf 0.000 0.000 0.000
P1 P 0.500 0.231 0.239
P2 P 0.500 0.769 0.761
P3 P 0.000 0.234 0.751
P4 P 0.000 0.766 0.249
```

Values from the calculation:
Total DFT energy (no corrections) ... -7.64 eV per atom
Space group ... No. 10
Total magnetic moment ... 0.00 μB per formula unit
Mass density ... 5.81 g/cm³



(6)
Here is an optimized crystal structure of Pr2HfZrP4 from the Alexandria database. Energies are from PBE.

Geometry as CIF:
```
data_Pr2HfZrP4
_chemical_formula_sum 'Pr2 Hf1 Zr1 P4'
_space_group_name_H-M_alt 'P 1'
_space_group_IT_number 1
_cell_length_a 3.921
_cell_length_b 6.796
_cell_length_c 6.916
_cell_angle_alpha 109.17
_cell_angle_beta 90.00
_cell_angle_gamma 90.00
loop_
_space_group_symop_operation_xyz
'x,y,z'
loop_
_atom_site_label
_atom_site_type_symbol
_atom_site_fract_x
_atom_site_fract_y
_atom_site_fract_z
Pr1 Pr 0.500 0.000 0.500
Pr2 Pr 0.000 0.500 0.500
Hf1 Hf 0.000 0.000 0.000
Zr1 Zr 0.500 0.500 0.000
P1 P 0.500 0.237 0.219
P2 P 0.500 0.763 0.781
P3 P 0.000 0.257 0.779
P4 P 0.000 0.743 0.221
```

Values from the calculation:
Total DFT energy (no corrections) ... -7.61 eV per atom
Space group ... No. 10
Total magnetic moment ... 0.00 μB per formula unit
Mass density ... 6.44 g/cm³



(7)
Here is an optimized crystal structure of HfP2Pt2 from the Alexandria database. Energies are from PBE.

Geometry as CIF:
```
data_HfP2Pt2
_chemical_formula_sum 'Hf2 P4 Pt4'
_space_group_name_H-M_alt 'P 1'
_space_group_IT_number 1
_cell_length_a 7.068
_cell_length_b 7.068
_cell_length_c 3.364
_cell_angle_alpha 90.00
_cell_angle_beta 90.00
_cell_angle_gamma 90.00
loop_
_space_group_symop_operation_xyz
'x,y,z'
loop_
_atom_site_label
_atom_site_type_symbol
_atom_site_fract_x
_atom_site_fract_y
_atom_site_fract_z
P1 P 0.197 0.697 0.500
P2 P 0.697 0.803 0.500
P3 P 0.803 0.303 0.500
P4 P 0.303 0.197 0.500
Hf1 Hf 0.000 0.000 0.000
Hf2 Hf 0.500 0.500 0.000
Pt1 Pt 0.370 0.870 0.000
Pt2 Pt 0.870 0.630 0.000
Pt3 Pt 0.630 0.130 0.000
Pt4 Pt 0.130 0.370 0.000
```

Values from the calculation:
Total DFT energy (no corrections) ... -6.90 eV per atom
Space group ... No. 127
Total magnetic moment ... 0.00 μB per formula unit
Mass density ... 12.46 g/cm³



(8)
Here is an optimized crystal structure of HfP2Pt from the Alexandria database. Energies are from PBE.

Geometry as CIF:
```
data_HfP2Pt
_chemical_formula_sum 'Hf2 P4 Pt2'
_space_group_name_H-M_alt 'P 1'
_space_group_IT_number 1
_cell_length_a 5.650
_cell_length_b 5.650
_cell_length_c 6.774
_cell_angle_alpha 65.35
_cell_angle_beta 65.35
_cell_angle_gamma 90.00
loop_
_space_group_symop_operation_xyz
'x,y,z'
loop_
_atom_site_label
_atom_site_type_symbol
_atom_site_fract_x
_atom_site_fract_y
_atom_site_fract_z
P1 P 0.653 0.125 0.250
P2 P 0.097 0.625 0.250
P3 P 0.375 0.347 0.750
P4 P 0.875 0.903 0.750
Hf1 Hf 0.500 0.500 0.000
Hf2 Hf 0.250 0.750 0.500
Pt1 Pt 0.000 0.000 0.000
Pt2 Pt 0.750 0.250 0.500
```

Values from the calculation:
Total DFT energy (no corrections) ... -7.11 eV per atom
Space group ... No. 122
Total magnetic moment ... 0.00 μB per formula unit
Mass density ... 8.28 g/cm³



(9)
Here is an optimized crystal structure of HfPPt3 from the Alexandria database. Energies are from PBE.

Geometry as CIF:
```
data_HfPPt3
_chemical_formula_sum 'Hf1 P1 Pt3'
_space_group_name_H-M_alt 'P 1'
_space_group_IT_number 1
_cell_length_a 4.521
_cell_length_b 4.521
_cell_length_c 4.521
_cell_angle_alpha 90.00
_cell_angle_beta 90.00
_cell_angle_gamma 90.00
loop_
_space_group_symop_operation_xyz
'x,y,z'
loop_
_atom_site_label
_atom_site_type_symbol
_atom_site_fract_x
_atom_site_fract_y
_atom_site_fract_z
P1 P 0.000 0.000 0.000
Hf1 Hf 0.500 0.500 0.500
Pt1 Pt 0.000 0.500 0.000
Pt2 Pt 0.000 0.000 0.500
Pt3 Pt 0.500 0.000 0.000
```

Values from the calculation:
Total DFT energy (no corrections) ... -6.89 eV per atom
Space group ... No. 221
Total magnetic moment ... 0.00 μB per formula unit
Mass density ... 14.29 g/cm³



(10)
Here is an optimized crystal structure of HfP2Pt from the Alexandria database. Energies are from PBE.

Geometry as CIF:
```
data_HfP2Pt
_chemical_formula_sum 'Hf1 P2 Pt1'
_space_group_name_H-M_alt 'P 1'
_space_group_IT_number 1
_cell_length_a 4.460
_cell_length_b 4.460
_cell_length_c 4.460
_cell_angle_alpha 60.00
_cell_angle_beta 60.00
_cell_angle_gamma 60.00
loop_
_space_group_symop_operation_xyz
'x,y,z'
loop_
_atom_site_label
_atom_site_type_symbol
_atom_site_fract_x
_atom_site_fract_y
_atom_site_fract_z
P1 P 0.250 0.250 0.250
P2 P 0.750 0.750 0.750
Hf1 Hf 0.000 0.000 0.000
Pt1 Pt 0.500 0.500 0.500
```

Values from the calculation:
Total DFT energy (no corrections) ... -7.12 eV per atom
Space group ... No. 225
Total magnetic moment ... 0.00 μB per formula unit
Mass density ... 11.53 g/cm³



(11)
Here is an optimized crystal structure of HfP2Pt2 from the Alexandria database. Energies are from PBE.

Geometry as CIF:
```
data_HfP2Pt2
_chemical_formula_sum 'Hf1 P2 Pt2'
_space_group_name_H-M_alt 'P 1'
_space_group_IT_number 1
_cell_length_a 3.793
_cell_length_b 3.793
_cell_length_c 6.464
_cell_angle_alpha 72.94
_cell_angle_beta 72.94
_cell_angle_gamma 90.00
loop_
_space_group_symop_operation_xyz
'x,y,z'
loop_
_atom_site_label
_atom_site_type_symbol
_atom_site_fract_x
_atom_site_fract_y
_atom_site_fract_z
P1 P 0.750 0.250 0.500
P2 P 0.250 0.750 0.500
Hf1 Hf 0.000 0.000 0.000
Pt1 Pt 0.387 0.387 0.225
Pt2 Pt 0.613 0.613 0.775
```

Values from the calculation:
Total DFT energy (no corrections) ... -6.98 eV per atom
Space group ... No. 139
Total magnetic moment ... 0.00 μB per formula unit
Mass density ... 12.37 g/cm³



(12)
Here is an optimized crystal structure of HfPPt2 from the Alexandria database. Energies are from PBE.

Geometry as CIF:
```
data_HfPPt2
_chemical_formula_sum 'Hf2 P2 Pt4'
_space_group_name_H-M_alt 'P 1'
_space_group_IT_number 1
_cell_length_a 4.681
_cell_length_b 4.681
_cell_length_c 8.067
_cell_angle_alpha 73.13
_cell_angle_beta 73.13
_cell_angle_gamma 90.00
loop_
_space_group_symop_operation_xyz
'x,y,z'
loop_
_atom_site_label
_atom_site_type_symbol
_atom_site_fract_x
_atom_site_fract_y
_atom_site_fract_z
P1 P 0.500 0.500 0.000
P2 P 0.250 0.750 0.500
Hf1 Hf 0.000 0.000 0.000
Hf2 Hf 0.750 0.250 0.500
Pt1 Pt 0.549 0.125 0.250
Pt2 Pt 0.201 0.625 0.250
Pt3 Pt 0.375 0.451 0.750
Pt4 Pt 0.875 0.799 0.750
```

Values from the calculation:
Total DFT energy (no corrections) ... -7.39 eV per atom
Space group ... No. 122
Total magnetic moment ... 0.00 μB per formula unit
Mass density ... 12.35 g/cm³



(13)
Here is an optimized crystal structure of HfPPt3 from the Alexandria database. Energies are from PBE.

Geometry as CIF:
```
data_HfPPt3
_chemical_formula_sum 'Hf1 P1 Pt3'
_space_group_name_H-M_alt 'P 1'
_space_group_IT_number 1
_cell_length_a 4.904
_cell_length_b 4.904
_cell_length_c 4.904
_cell_angle_alpha 90.00
_cell_angle_beta 90.00
_cell_angle_gamma 90.00
loop_
_space_group_symop_operation_xyz
'x,y,z'
loop_
_atom_site_label
_atom_site_type_symbol
_atom_site_fract_x
_atom_site_fract_y
_atom_site_fract_z
P1 P 0.500 0.500 0.500
Hf1 Hf 0.000 0.000 0.000
Pt1 Pt 0.000 0.500 0.000
Pt2 Pt 0.000 0.000 0.500
Pt3 Pt 0.500 0.000 0.000
```

Values from the calculation:
Total DFT energy (no corrections) ... -5.65 eV per atom
Space group ... No. 221
Total magnetic moment ... 0.00 μB per formula unit
Mass density ... 11.19 g/cm³